# Ce2PuPaSb4

A relaxed structure of Ce2PuPaSb4 (PBE-GGA, the Alexandria database).

Results
DOS(E_F): 27.2 states/eV per cell
Spin magnetization: 8.02 μB/f.u.
Calculated density: 8276 kg/m³
Formation energy without anion corrections: -797.5 meV/atom

Cell: 7.701 4.454 7.708 Å, 90.00 109.47 90.00°
Positions (direct):
Ce1 0.000 0.000 0.000
Ce2 0.500 0.500 0.000
Pu1 0.000 0.500 0.500
Pa1 0.500 0.000 0.500
Sb1 0.251 0.000 0.744
Sb2 0.255 0.500 0.257
Sb3 0.745 0.500 0.743
Sb4 0.749 0.000 0.256

# Ce3PuPa3Se8

A relaxed structure of Ce3PuPa3Se8 (PBE-GGA, the Alexandria database).

Results
DOS(E_F): 31.1 states/eV per cell
Spin magnetization: 3.51 μB/f.u.
Calculated density: 8437 kg/m³
Formation energy without anion corrections: -1534.0 meV/atom

Cell: 8.257 8.257 8.257 Å, 59.28 59.28 59.28°
Positions (direct):
Ce1 0.000 0.500 0.500
Ce2 0.500 0.000 0.500
Ce3 0.500 0.500 0.000
Pu1 0.500 0.500 0.500
Pa1 0.000 0.000 0.500
Pa2 0.000 0.500 0.000
Pa3 0.500 0.000 0.000
Se1 0.239 0.756 0.756
Se2 0.244 0.244 0.761
Se3 0.244 0.761 0.244
Se4 0.248 0.248 0.248
Se5 0.752 0.752 0.752
Se6 0.756 0.239 0.756
Se7 0.756 0.756 0.239
Se8 0.761 0.244 0.244

# CePu2PaSe4

A relaxed structure of CePu2PaSe4 (PBE-GGA, the Alexandria database).

Results
DOS(E_F): 20.1 states/eV per cell
Spin magnetization: 9.70 μB/f.u.
Calculated density: 9791 kg/m³
Formation energy without anion corrections: -1510.9 meV/atom

Cell: 7.113 4.091 7.242 Å, 90.00 108.96 90.00°
Positions (direct):
Ce1 0.000 0.000 0.000
Pu1 0.000 0.500 0.500
Pu2 0.500 0.000 0.500
Pa1 0.500 0.500 0.000
Se1 0.252 0.000 0.747
Se2 0.255 0.500 0.255
Se3 0.745 0.500 0.745
Se4 0.748 0.000 0.253

# CePuPaTi

A relaxed structure of CePuPaTi (PBE-GGA, the Alexandria database).

Results
DOS(E_F): 10.7 states/eV per cell
Spin magnetization: 6.05 μB/f.u.
Calculated density: 12232 kg/m³

Cell: 5.030 5.030 5.030 Å, 60.00 60.00 60.00°
Positions (direct):
Ce1 0.000 0.000 0.000
Pu1 0.500 0.500 0.500
Pa1 0.750 0.750 0.750
Ti1 0.250 0.250 0.250

# CePuPaTl

A relaxed structure of CePuPaTl (PBE-GGA, the Alexandria database).

Results
DOS(E_F): 10.3 states/eV per cell
Spin magnetization: 7.99 μB/f.u.
Calculated density: 12995 kg/m³

Cell: 5.291 5.291 5.291 Å, 60.00 60.00 60.00°
Positions (direct):
Ce1 0.000 0.000 0.000
Pu1 0.500 0.500 0.500
Pa1 0.250 0.250 0.250
Tl1 0.750 0.750 0.750

# CeTmPuPa

A relaxed structure of CeTmPuPa (PBE-GGA, the Alexandria database).

Results
DOS(E_F): 11.0 states/eV per cell
Spin magnetization: 8.87 μB/f.u.
Calculated density: 12038 kg/m³

Cell: 5.348 5.348 5.348 Å, 60.00 60.00 60.00°
Positions (direct):
Ce1 0.000 0.000 0.000
Tm1 0.750 0.750 0.750
Pu1 0.500 0.500 0.500
Pa1 0.250 0.250 0.250

# CePuPaZn

A relaxed structure of CePuPaZn (PBE-GGA, the Alexandria database).

Results
DOS(E_F): 10.6 states/eV per cell
Spin magnetization: 7.35 μB/f.u.
Calculated density: 12467 kg/m³

Cell: 5.042 5.042 5.042 Å, 60.00 60.00 60.00°
Positions (direct):
Ce1 0.000 0.000 0.000
Pu1 0.500 0.500 0.500
Pa1 0.750 0.750 0.750
Zn1 0.250 0.250 0.250

# Rb2CePaS6

A relaxed structure of Rb2CePaS6 (PBE-GGA, the Alexandria database).

Results
DOS(E_F): 5.3 states/eV per cell
Spin magnetization: 0.00 μB/f.u.
Calculated density: 4030 kg/m³
Formation energy without anion corrections: -1457.3 meV/atom

Cell: 7.536 7.536 7.536 Å, 60.00 60.00 60.00°
Positions (direct):
Rb1 0.250 0.250 0.250
Rb2 0.750 0.750 0.750
Ce1 0.000 0.000 0.000
Pa1 0.500 0.500 0.500
S1 0.254 0.254 0.746
S2 0.254 0.746 0.254
S3 0.254 0.746 0.746
S4 0.746 0.254 0.254
S5 0.746 0.254 0.746
S6 0.746 0.746 0.254

# Rb3Ce2PaS6

A relaxed structure of Rb3Ce2PaS6 (PBE-GGA, the Alexandria database).

Results
DOS(E_F): 19.5 states/eV per cell
Spin magnetization: 4.03 μB/f.u.
Calculated density: 4555 kg/m³
Formation energy without anion corrections: -1655.2 meV/atom

Cell: 7.228 7.228 8.102 Å, 98.56 98.56 119.99°
Positions (direct):
Rb1 0.000 0.000 0.000
Rb2 0.331 0.669 0.000
Rb3 0.669 0.331 0.000
Ce1 0.166 0.834 0.500
Ce2 0.834 0.166 0.500
Pa1 0.500 0.500 0.500
S1 0.113 0.435 0.304
S2 0.244 0.244 0.697
S3 0.435 0.113 0.304
S4 0.565 0.887 0.696
S5 0.756 0.756 0.303
S6 0.887 0.565 0.696

# Rb3Ce3PaS8

A relaxed structure of Rb3Ce3PaS8 (PBE-GGA, the Alexandria database).

Results
DOS(E_F): 24.2 states/eV per cell
Spin magnetization: 4.02 μB/f.u.
Calculated density: 4086 kg/m³
Formation energy without anion corrections: -1748.3 meV/atom

Cell: 9.182 9.182 9.182 Å, 54.20 54.20 54.20°
Positions (direct):
Rb1 0.000 0.500 0.500
Rb2 0.500 0.000 0.500
Rb3 0.500 0.500 0.000
Ce1 0.000 0.000 0.500
Ce2 0.000 0.500 0.000
Ce3 0.500 0.000 0.000
Pa1 0.500 0.500 0.500
S1 0.232 0.232 0.232
S2 0.244 0.722 0.722
S3 0.278 0.278 0.756
S4 0.278 0.756 0.278
S5 0.722 0.244 0.722
S6 0.722 0.722 0.244
S7 0.756 0.278 0.278
S8 0.768 0.768 0.768

# Rb4CePa3S12

A relaxed structure of Rb4CePa3S12 (PBE-GGA, the Alexandria database).

Results
DOS(E_F): 9.5 states/eV per cell
Spin magnetization: 0.00 μB/f.u.
Calculated density: 4342 kg/m³
Formation energy without anion corrections: -1520.7 meV/atom

Cell: 9.185 9.185 9.185 Å, 109.47 109.47 109.47°
Positions (direct):
Rb1 0.000 0.000 0.500
Rb2 0.000 0.500 0.000
Rb3 0.500 0.000 0.000
Rb4 0.500 0.500 0.500
Ce1 0.000 0.000 0.000
Pa1 0.000 0.500 0.500
Pa2 0.500 0.000 0.500
Pa3 0.500 0.500 0.000
S1 0.000 0.255 0.255
S2 0.000 0.745 0.745
S3 0.250 0.500 0.750
S4 0.250 0.750 0.500
S5 0.255 0.000 0.255
S6 0.255 0.255 0.000
S7 0.500 0.250 0.750
S8 0.500 0.750 0.250
S9 0.745 0.000 0.745
S10 0.745 0.745 0.000
S11 0.750 0.250 0.500
S12 0.750 0.500 0.250

# Rb2CePaSe4

A relaxed structure of Rb2CePaSe4 (PBE-GGA, the Alexandria database).

Results
DOS(E_F): 13.0 states/eV per cell
Spin magnetization: 3.01 μB/f.u.
Calculated density: 5503 kg/m³
Formation energy without anion corrections: -1472.6 meV/atom

Cell: 7.469 4.284 8.456 Å, 90.00 106.91 90.00°
Positions (direct):
Rb1 0.000 0.000 0.000
Rb2 0.500 0.500 0.000
Ce1 0.000 0.500 0.500
Pa1 0.500 0.000 0.500
Se1 0.243 0.000 0.702
Se2 0.274 0.500 0.300
Se3 0.726 0.500 0.700
Se4 0.757 0.000 0.298

# Rb4CePa3Se8

A relaxed structure of Rb4CePa3Se8 (PBE-GGA, the Alexandria database).

Results
DOS(E_F): 25.9 states/eV per cell
Spin magnetization: 4.73 μB/f.u.
Calculated density: 5906 kg/m³
Formation energy without anion corrections: -1368.3 meV/atom

Cell: 9.508 9.508 9.508 Å, 53.00 53.00 53.00°
Positions (direct):
Rb1 0.000 0.000 0.000
Rb2 0.000 0.500 0.500
Rb3 0.500 0.000 0.500
Rb4 0.500 0.500 0.000
Ce1 0.500 0.500 0.500
Pa1 0.000 0.000 0.500
Pa2 0.000 0.500 0.000
Pa3 0.500 0.000 0.000
Se1 0.227 0.738 0.738
Se2 0.234 0.234 0.234
Se3 0.262 0.262 0.773
Se4 0.262 0.773 0.262
Se5 0.738 0.227 0.738
Se6 0.738 0.738 0.227
Se7 0.766 0.766 0.766
Se8 0.773 0.262 0.262

# Rb2Ce2PaSe6

A relaxed structure of Rb2Ce2PaSe6 (PBE-GGA, the Alexandria database).

Results
DOS(E_F): 18.0 states/eV per cell
Spin magnetization: 3.01 μB/f.u.
Calculated density: 4872 kg/m³
Formation energy without anion corrections: -1599.5 meV/atom

Cell: 7.449 7.449 8.550 Å, 98.54 98.54 119.63°
Positions (direct):
Rb1 0.170 0.830 0.000
Rb2 0.830 0.170 0.000
Ce1 0.334 0.666 0.500
Ce2 0.666 0.334 0.500
Pa1 0.000 0.000 0.500
Se1 0.065 0.387 0.694
Se2 0.253 0.253 0.306
Se3 0.387 0.065 0.694
Se4 0.613 0.935 0.306
Se5 0.747 0.747 0.694
Se6 0.935 0.613 0.306

# Rb2CePa2Te6

A relaxed structure of Rb2CePa2Te6 (PBE-GGA, the Alexandria database).

Results
DOS(E_F): 23.4 states/eV per cell
Spin magnetization: 1.86 μB/f.u.
Calculated density: 5520 kg/m³
Formation energy without anion corrections: -1036.2 meV/atom

Cell: 7.778 7.778 9.214 Å, 97.91 97.91 120.24°
Positions (direct):
Rb1 0.164 0.836 0.000
Rb2 0.836 0.164 0.000
Ce1 0.000 0.000 0.500
Pa1 0.333 0.667 0.500
Pa2 0.667 0.333 0.500
Te1 0.067 0.409 0.702
Te2 0.279 0.279 0.298
Te3 0.409 0.067 0.702
Te4 0.591 0.933 0.298
Te5 0.721 0.721 0.702
Te6 0.933 0.591 0.298

# Rb3Ce3PaTe8

A relaxed structure of Rb3Ce3PaTe8 (PBE-GGA, the Alexandria database).

Results
DOS(E_F): 23.7 states/eV per cell
Spin magnetization: 2.19 μB/f.u.
Calculated density: 4972 kg/m³
Formation energy without anion corrections: -1230.5 meV/atom

Cell: 10.199 10.199 10.199 Å, 53.95 53.95 53.95°
Positions (direct):
Rb1 0.000 0.500 0.500
Rb2 0.500 0.000 0.500
Rb3 0.500 0.500 0.000
Ce1 0.000 0.000 0.500
Ce2 0.000 0.500 0.000
Ce3 0.500 0.000 0.000
Pa1 0.500 0.500 0.500
Te1 0.235 0.235 0.235
Te2 0.243 0.728 0.728
Te3 0.272 0.272 0.757
Te4 0.272 0.757 0.272
Te5 0.728 0.243 0.728
Te6 0.728 0.728 0.243
Te7 0.757 0.272 0.272
Te8 0.765 0.765 0.765

# Rb3CePa2Te6

A relaxed structure of Rb3CePa2Te6 (PBE-GGA, the Alexandria database).

Results
DOS(E_F): 21.7 states/eV per cell
Spin magnetization: 5.01 μB/f.u.
Calculated density: 5813 kg/m³
Formation energy without anion corrections: -1043.8 meV/atom

Cell: 7.839 7.839 9.103 Å, 98.25 98.25 120.01°
Positions (direct):
Rb1 0.000 0.000 0.000
Rb2 0.336 0.664 0.000
Rb3 0.664 0.336 0.000
Ce1 0.500 0.500 0.500
Pa1 0.167 0.833 0.500
Pa2 0.833 0.167 0.500
Te1 0.090 0.431 0.294
Te2 0.227 0.227 0.705
Te3 0.431 0.090 0.294
Te4 0.569 0.910 0.706
Te5 0.773 0.773 0.295
Te6 0.910 0.569 0.706

# Rb4Ce3PaTe8

A relaxed structure of Rb4Ce3PaTe8 (PBE-GGA, the Alexandria database).

Results
DOS(E_F): 32.2 states/eV per cell
Spin magnetization: 5.02 μB/f.u.
Calculated density: 5210 kg/m³
Formation energy without anion corrections: -1223.4 meV/atom

Cell: 10.123 10.123 10.123 Å, 54.64 54.64 54.64°
Positions (direct):
Rb1 0.000 0.000 0.000
Rb2 0.000 0.500 0.500
Rb3 0.500 0.000 0.500
Rb4 0.500 0.500 0.000
Ce1 0.000 0.000 0.500
Ce2 0.000 0.500 0.000
Ce3 0.500 0.000 0.000
Pa1 0.500 0.500 0.500
Te1 0.235 0.235 0.235
Te2 0.243 0.731 0.731
Te3 0.269 0.269 0.757
Te4 0.269 0.757 0.269
Te5 0.731 0.243 0.731
Te6 0.731 0.731 0.243
Te7 0.757 0.269 0.269
Te8 0.765 0.765 0.765

# CePaRe4

A relaxed structure of CePaRe4 (PBE-GGA, the Alexandria database).

Results
DOS(E_F): 11.0 states/eV per cell
Spin magnetization: 0.00 μB/f.u.
Calculated density: 16242 kg/m³

Cell: 5.444 5.444 5.444 Å, 60.00 60.00 60.00°
Positions (direct):
Ce1 0.000 0.000 0.000
Pa1 0.750 0.750 0.750
Re1 0.375 0.375 0.375
Re2 0.375 0.375 0.875
Re3 0.375 0.875 0.375
Re4 0.875 0.375 0.375

# CePa2Re9

A relaxed structure of CePa2Re9 (PBE-GGA, the Alexandria database).

Results
DOS(E_F): 14.0 states/eV per cell
Spin magnetization: 0.38 μB/f.u.
Calculated density: 17016 kg/m³

Cell: 9.691 9.691 9.691 Å, 31.63 31.63 31.63°
Positions (direct):
Ce1 0.000 0.000 0.000
Pa1 0.146 0.146 0.146
Pa2 0.854 0.854 0.854
Re1 0.078 0.585 0.585
Re2 0.335 0.335 0.335
Re3 0.415 0.415 0.922
Re4 0.415 0.922 0.415
Re5 0.500 0.500 0.500
Re6 0.585 0.078 0.585
Re7 0.585 0.585 0.078
Re8 0.665 0.665 0.665
Re9 0.922 0.415 0.415

| no. | E (eV for the cell shown) |
| --- | --- |
| 1 | -58.6 |
| 2 | -111.5 |
| 3 | -70.1 |
| 4 | -36.7 |
| 5 | -31.4 |
| 6 | -33.1 |
| 7 | -30.4 |
| 8 | -56.7 |
| 9 | -68.9 |
| 10 | -89.4 |
| 11 | -118.2 |
| 12 | -43.1 |
| 13 | -88.1 |
| 14 | -61.8 |
| 15 | -57.1 |
| 16 | -73.8 |
| 17 | -59.2 |
| 18 | -75.9 |
| 19 | -65.7 |
| 20 | -137.3 |